No. 1
Material: CsNb3Ag
Method: DFT, PBE
State: relaxed

For the size of the total moment, the calculation gives 0.00 μB per atom. For the density of states at the Fermi level, the calculation gives 5.70 states/eV/cell. Its formation energy is 2.662 eV/atom. For the raw total energy, the calculation gives -4.12 eV/atom.

It has space group Pm-3m (No. 221), with a = 5.028 Å, b = 5.028 Å, c = 5.028 Å, α = 90.00°, β = 90.00° and γ = 90.00°. The asymmetric unit holds Cs at (0.000, 0.000, 0.000), Nb at (0.000, 0.000, 0.500) and Ag at (0.500, 0.500, 0.500).

=====

No. 2
Material: CsNb3Ag
Method: DFT, PBE
State: relaxed

For the size of the total moment, the calculation gives 0.59 μB per atom. For the density of states at the Fermi level, the calculation gives 7.66 states/eV/cell. Its formation energy is 2.093 eV/atom. For the raw total energy, the calculation gives -4.69 eV/atom.

It has space group Pm-3m (No. 221), with a = 5.188 Å, b = 5.188 Å, c = 5.188 Å, α = 90.00°, β = 90.00° and γ = 90.00°. The asymmetric unit holds Cs at (0.000, 0.000, 0.000), Nb at (0.000, 0.500, 0.500) and Ag at (0.500, 0.500, 0.500).

=====

No. 3
Material: CsNb2Ag
Method: DFT, PBE
State: relaxed

For the size of the total moment, the calculation gives 0.00 μB per atom. For the density of states at the Fermi level, the calculation gives 14.42 states/eV/cell. Its formation energy is 1.385 eV/atom. For the raw total energy, the calculation gives -4.58 eV/atom.

It has space group I-42d (No. 122), with a = 4.503 Å, b = 4.503 Å, c = 22.413 Å, α = 90.00°, β = 90.00° and γ = 90.00°. The asymmetric unit holds Cs at (0.000, 0.000, 0.000), Nb at (0.115, 0.250, 0.625) and Ag at (0.000, 0.000, 0.500).